Al2RePb (PBEsol, optimized geometry); formation enthalpy at 0 K = 2.07 eV per formula unit
1.0
-3.0672 -2.1472 -1.6721
2.7153 -2.5837 -1.6630
-0.0043 0.0468 4.9756
Al Pb Re
2 1 1
Direct
0.7500 0.2500 0.5000
0.2500 0.7500 0.5000
0.5000 0.5000 0.0000
0.0000 0.0000 0.0000

AlRePb2 (PBEsol, optimized geometry); formation enthalpy at 0 K = 3.76 eV per formula unit
1.0
4.3807 0.0000 0.0000
0.0000 4.3807 0.0000
-2.1904 -2.1904 4.2428
Al Pb Re
1 2 1
Direct
0.2500 0.7500 0.5000
0.0000 0.0000 0.0000
0.7500 0.2500 0.5000
0.5000 0.5000 0.0000

Al2RePb (PBEsol, optimized geometry); formation enthalpy at 0 K = 1.93 eV per formula unit
1.0
-2.1764 2.5223 -0.7721
-0.2500 -1.5606 -4.3946
-2.1041 -3.0163 3.6738
Pb Al Re
1 2 1
Direct
0.4995 0.4997 0.9992
0.9956 0.9954 0.9907
0.7392 0.2394 0.4788
0.2659 0.7657 0.5314

AlRhPb3 (PBEsol, optimized geometry); formation enthalpy at 0 K = 1.67 eV per formula unit
1.0
5.2041 0.0000 0.0000
0.0000 5.2041 0.0000
0.0000 0.0000 5.2041
Rh Al Pb
1 1 3
Direct
0.0000 0.0000 0.0000
0.5000 0.5000 0.5000
0.5000 0.0000 0.0000
0.0000 0.5000 0.0000
0.0000 0.0000 0.5000

AlRhPb2W (PBEsol, optimized geometry); formation enthalpy at 0 K = 5.98 eV per formula unit
1.0
4.6074 0.0000 0.0000
0.0000 5.1148 0.0000
0.0000 0.0000 5.1148
Pb W Rh Al
2 1 1 1
Direct
0.0000 0.5000 0.0000
0.0000 0.0000 0.5000
0.5000 0.5000 0.5000
0.0000 0.0000 0.0000
0.5000 0.0000 0.0000

ZrAlRhPb2 (PBEsol, optimized geometry); formation enthalpy at 0 K = 2.08 eV per formula unit
1.0
4.5568 0.0000 0.0000
0.0000 5.1568 0.0000
0.0000 0.0000 5.1568
Pb Rh Zr Al
2 1 1 1
Direct
0.0000 0.5000 0.0000
0.0000 0.0000 0.5000
0.0000 0.0000 0.0000
0.5000 0.5000 0.5000
0.5000 0.0000 0.0000

Al2RuPb (PBEsol, optimized geometry); formation enthalpy at 0 K = 0.96 eV per formula unit
1.0
-1.9493 1.4612 -3.2756
-2.6279 -3.1190 0.1725
-0.1404 3.0092 3.9697
Al Pb Ru
2 1 1
Direct
0.0000 0.0000 0.0000
0.7500 0.2500 0.5000
0.5000 0.5000 0.0000
0.2500 0.7500 0.5000

AlRu3Pb (PBEsol, optimized geometry); formation enthalpy at 0 K = 5.12 eV per formula unit
1.0
-3.8253 -2.2065 0.3436
2.0780 -3.2676 2.1503
-0.8177 2.0182 3.8572
Pb Al Ru
1 1 3
Direct
0.5000 0.5000 0.5000
0.0000 0.0000 0.0000
0.5000 0.0000 0.0000
0.0000 0.5000 0.0000
0.0000 0.0000 0.5000

Al2RuPb (PBEsol, optimized geometry); formation enthalpy at 0 K = 1.29 eV per formula unit
1.0
3.1992 0.0066 0.0000
-0.3043 4.7702 0.0000
-1.4474 -2.3884 4.6555
Pb Al Ru
1 2 1
Direct
0.0000 0.0000 0.0000
0.5000 0.5000 0.5000
0.0000 0.0000 0.5000
0.5000 0.5000 0.0000

AlSi2RuPb (PBEsol, optimized geometry); uncorrected formation energy = 1.449 eV per atom
1.0
4.5607 0.0000 0.0000
0.0000 4.5607 0.0000
0.0000 0.0000 5.2035
Si Al Pb Ru
2 1 1 1
Direct
0.0000 0.5000 0.0000
0.5000 0.0000 0.0000
0.0000 0.0000 0.0000
0.0000 0.0000 0.5000
0.5000 0.5000 0.5000

TaAlRu2Pb (PBEsol, optimized geometry); formation enthalpy at 0 K = 11.61 eV per formula unit
1.0
4.8323 0.0000 0.0000
0.0000 4.8323 0.0000
0.0000 0.0000 5.0519
Al Ru Ta Pb
1 2 1 1
Direct
0.5000 0.5000 0.5000
0.5000 0.0000 0.0000
0.0000 0.5000 0.0000
0.0000 0.0000 0.5000
0.0000 0.0000 0.0000

ZrAlRuPb2 (PBEsol, optimized geometry); formation enthalpy at 0 K = 6.81 eV per formula unit
1.0
5.0176 0.0000 0.0000
0.0000 5.0176 0.0000
0.0000 0.0000 5.0181
Al Pb Zr Ru
1 2 1 1
Direct
0.0000 0.0000 0.0000
0.0000 0.5000 0.0000
0.5000 0.0000 0.0000
0.0000 0.0000 0.5000
0.5000 0.5000 0.5000

Al2PbS4 (PBEsol, optimized geometry); uncorrected formation energy = -0.947 eV per atom
1.0
-4.3665 0.4390 3.9666
-0.8222 -3.1216 -4.9707
3.4636 -8.4776 4.7510
Pb S Al
2 8 4
Direct
0.5000 0.0000 0.7500
0.5000 0.0000 0.2500
0.5000 0.5000 0.6670
0.6487 0.8326 0.0000
0.1840 0.8326 0.5000
0.5000 0.5000 0.3330
0.0000 0.5000 0.8330
0.0000 0.5000 0.1670
0.8160 0.1674 0.5000
0.3513 0.1674 0.0000
0.2367 0.4763 0.0000
0.2396 0.4763 0.5000
0.7633 0.5237 0.0000
0.7604 0.5237 0.5000

AlSbPb2 (PBEsol, optimized geometry); uncorrected formation energy = 0.204 eV per atom; excess energy over the best structure of this formula in the dataset = 0.0826 eV/atom
1.0
5.2946 0.0000 0.0000
2.6473 4.5852 0.0000
2.6473 1.5284 4.3230
Pb Sb Al
2 1 1
Direct
0.7500 0.7500 0.7500
0.0000 0.0000 0.0000
0.2500 0.2500 0.2500
0.5000 0.5000 0.5000

AlSbPb (PBEsol, optimized geometry); uncorrected formation energy = 0.312 eV per atom
1.0
-2.9449 3.1627 -2.6417
-4.7595 0.8734 1.4959
-1.2580 4.5058 1.9413
Sb Al Pb
1 1 1
Direct
0.2500 0.2500 0.2500
0.0000 0.0000 0.0000
0.5000 0.5000 0.5000

AlSbPb2 (PBEsol, optimized geometry); uncorrected formation energy = 0.121 eV per atom; excess energy over the best structure of this formula in the dataset = 0.0000 eV/atom
1.0
3.4545 0.0000 0.0000
0.0000 3.7464 0.0000
0.0000 0.0000 8.0127
Sb Pb Al
1 2 1
Direct
0.0000 0.0000 0.5411
0.0000 0.0000 0.9701
0.5000 0.5000 0.2648
0.5000 0.5000 0.7241

AlSbPb2 (PBEsol, optimized geometry); uncorrected formation energy = 0.203 eV per atom; excess energy over the best structure of this formula in the dataset = 0.0814 eV/atom
1.0
-1.7625 -2.4701 1.3628
4.2480 -1.4381 2.8872
-1.4668 4.0001 4.1506
Pb Al Sb
2 1 1
Direct
0.7594 0.0000 0.7396
0.2406 0.0000 0.2604
0.0000 0.5000 0.5000
0.5000 0.5000 0.0000

Al2Sb6Pb5 (PBEsol, optimized geometry); uncorrected formation energy = 0.010 eV per atom
1.0
4.4826 0.0000 0.0000
0.0000 12.3096 0.0000
0.0000 0.0000 13.8929
Sb Pb Al
12 10 4
Direct
0.5000 0.8348 0.3201
0.0000 0.6596 0.0882
0.5000 0.1652 0.6799
0.0000 0.8404 0.5882
0.0000 0.1596 0.4118
0.0000 0.4728 0.6035
0.0000 0.3404 0.9118
0.0000 0.9728 0.8965
0.5000 0.6652 0.8201
0.0000 0.0272 0.1035
0.5000 0.3348 0.1799
0.0000 0.5272 0.3965
0.5000 0.1818 0.9977
0.5000 0.5000 0.0000
0.5000 0.9078 0.7474
0.5000 0.8182 0.0023
0.5000 0.0000 0.5000
0.5000 0.0922 0.2526
0.5000 0.5922 0.2474
0.5000 0.4078 0.7526
0.5000 0.6818 0.5023
0.5000 0.3182 0.4977
0.0000 0.3349 0.2922
0.0000 0.1651 0.7922
0.0000 0.8349 0.2078
0.0000 0.6651 0.7078

AlSbPb2 (PBEsol, optimized geometry); uncorrected formation energy = 0.178 eV per atom; excess energy over the best structure of this formula in the dataset = 0.0565 eV/atom
1.0
4.7607 0.0000 0.0000
0.0000 4.7607 0.0000
-2.3803 -2.3803 4.6769
Sb Pb Al
1 2 1
Direct
0.5000 0.5000 0.0000
0.0000 0.0000 0.0000
0.7500 0.2500 0.5000
0.2500 0.7500 0.5000

ZrAlSbPb2 (PBEsol, optimized geometry); uncorrected formation energy = 0.580 eV per atom
1.0
5.1684 0.0000 0.0000
0.0000 5.1684 0.0000
0.0000 0.0000 5.2800
Al Pb Sb Zr
1 2 1 1
Direct
0.0000 0.0000 0.0000
0.0000 0.5000 0.0000
0.5000 0.0000 0.0000
0.5000 0.5000 0.5000
0.0000 0.0000 0.5000

Across the entries above, raw total energy takes the values -5.8615; -5.4156; -5.8958; -4.5121; -5.6106; -5.4484; -5.3481; -6.6983; -5.2649; -4.5020; -5.8750; -4.9073; -5.1930; -3.9577; -3.9043; -4.0402; -3.9589; -4.2611; -3.9837; -4.5674 eV per atom, respectively.